1.
Density functional theory data (PBE-GGA) for ScAsH after structural relaxation.

Calculated values
As for the magnetic moment: 0.00 μB/cell. Its volume is 89.5 Å³/cell. Its total energy is -33.21 eV per cell.

a b c (Å): 7.4559 7.4559 7.4559
angles (deg): 152.28 152.28 39.61
Fractional positions:
Sc 0.1654 0.1654 0.0000
Sc 0.8346 0.8346 0.0000
As 0.4126 0.4126 0.0000
As 0.5874 0.5874 0.0000
H 0.2500 0.7500 0.5000
H 0.7500 0.2500 0.5000

2.
Density functional theory data (PBE-GGA) for ScAsH after structural relaxation.

Calculated values
As for the magnetic moment: 0.00 μB/cell. Its volume is 41.5 Å³/cell. Its total energy is -16.50 eV per cell.

a b c (Å): 3.4222 3.4222 4.0921
angles (deg): 90.00 90.00 120.00
Fractional positions:
Sc 0.0000 0.0000 0.0000
As 0.3333 0.6667 0.5000
H 0.6667 0.3333 0.0000

3.
Density functional theory data (PBE-GGA) for ScAs3H after structural relaxation.

Calculated values
As for the magnetic moment: 0.86 μB/cell. Its volume is 132.8 Å³/cell. Its total energy is -20.20 eV per cell.

a b c (Å): 5.1015 5.1015 5.1015
angles (deg): 90.00 90.00 90.00
Fractional positions:
Sc 0.0000 0.0000 0.0000
As 0.0000 0.0000 0.5000
As 0.0000 0.5000 0.0000
As 0.5000 0.0000 0.0000
H 0.5000 0.5000 0.5000

4.
Density functional theory data (PBE-GGA) for ScAsH3 after structural relaxation.

Calculated values
As for the magnetic moment: 0.00 μB/cell. Its volume is 52.6 Å³/cell. Its total energy is -20.52 eV per cell.

a b c (Å): 3.7466 3.7466 3.7466
angles (deg): 90.00 90.00 90.00
Fractional positions:
Sc 0.0000 0.0000 0.0000
As 0.5000 0.5000 0.5000
H 0.0000 0.0000 0.5000
H 0.0000 0.5000 0.0000
H 0.5000 0.0000 0.0000

5.
Density functional theory data (PBE-GGA) for Sc4AsH after structural relaxation.

Calculated values
As for the magnetic moment: 0.00 μB/cell. Its volume is 241.6 Å³/cell. Its total energy is -73.41 eV per cell.

a b c (Å): 6.8528 6.8528 6.8528
angles (deg): 104.55 104.55 119.83
Fractional positions:
Sc 0.2203 0.2764 0.5561
Sc 0.2203 0.6642 0.9439
Sc 0.2764 0.2203 0.0561
Sc 0.3358 0.7797 0.5561
Sc 0.6642 0.2203 0.4439
Sc 0.7236 0.7797 0.9439
Sc 0.7797 0.3358 0.0561
Sc 0.7797 0.7236 0.4439
As 0.1250 0.8750 0.2500
As 0.8750 0.1250 0.7500
H 0.3750 0.6250 0.7500
H 0.6250 0.3750 0.2500

6.
Density functional theory data (PBE-GGA) for Sc3AsH2 after structural relaxation.

Calculated values
As for the magnetic moment: 0.00 μB/cell. Its volume is 187.7 Å³/cell. Its total energy is -69.49 eV per cell.

a b c (Å): 9.8803 9.8803 5.4829
angles (deg): 104.33 104.33 21.24
Fractional positions:
Sc 0.0466 0.0466 0.2828
Sc 0.2290 0.2290 0.2209
Sc 0.4002 0.4002 0.1556
Sc 0.5998 0.5998 0.8444
Sc 0.7710 0.7710 0.7791
Sc 0.9534 0.9534 0.7172
As 0.3495 0.3495 0.5981
As 0.6505 0.6505 0.4019
H 0.0583 0.0583 0.9138
H 0.2918 0.2918 0.9875
H 0.7082 0.7082 0.0125
H 0.9417 0.9417 0.0862

7.
Density functional theory data (PBE-GGA) for Sc4As2H after structural relaxation.

Calculated values
As for the magnetic moment: 0.00 μB/cell. Its volume is 124.9 Å³/cell. Its total energy is -43.91 eV per cell.

a b c (Å): 5.5918 5.5918 7.4305
angles (deg): 117.73 117.73 38.16
Fractional positions:
Sc 0.0754 0.0754 0.3587
Sc 0.3456 0.3456 0.9403
Sc 0.6544 0.6544 0.0597
Sc 0.9246 0.9246 0.6413
As 0.3406 0.3406 0.3144
As 0.6594 0.6594 0.6856
H 0.0000 0.0000 0.0000

8.
Density functional theory data (PBE-GGA) for ScAs2H after structural relaxation.

Calculated values
As for the magnetic moment: 0.00 μB/cell. Its volume is 123.6 Å³/cell. Its total energy is -39.84 eV per cell.

a b c (Å): 5.4375 5.4375 5.4375
angles (deg): 110.50 110.50 107.44
Fractional positions:
Sc 0.0000 0.0000 0.0000
Sc 0.7500 0.2500 0.5000
As 0.2237 0.6250 0.0987
As 0.3750 0.4737 0.5987
As 0.5263 0.1250 0.9013
As 0.8750 0.7763 0.4013
H 0.2500 0.7500 0.5000
H 0.5000 0.5000 0.0000

9.
Density functional theory data (PBE-GGA) for Sc2AsH after structural relaxation.

Calculated values
As for the magnetic moment: 0.00 μB/cell. Its volume is 89.4 Å³/cell. Its total energy is -23.04 eV per cell.

a b c (Å): 6.7936 6.7936 6.7936
angles (deg): 34.42 34.42 34.42
Fractional positions:
Sc 0.0995 0.0995 0.0995
Sc 0.9005 0.9005 0.9005
As 0.5000 0.5000 0.5000
H 0.0000 0.0000 0.0000

10.
Density functional theory data (PBE-GGA) for Sc4As3H after structural relaxation.

Calculated values
As for the magnetic moment: 3.29 μB/cell. Its volume is 367.1 Å³/cell. Its total energy is -98.15 eV per cell.

a b c (Å): 8.7351 7.8385 5.3613
angles (deg): 90.00 90.00 90.00
Fractional positions:
Sc 0.0000 0.1452 0.0001
Sc 0.0000 0.8403 0.5589
Sc 0.2283 0.6782 0.0000
Sc 0.2717 0.3218 0.5000
Sc 0.5000 0.1597 0.0589
Sc 0.5000 0.8548 0.5001
Sc 0.7283 0.3218 0.5000
Sc 0.7717 0.6782 0.0000
As 0.0000 0.1676 0.4978
As 0.2463 0.6626 0.4978
As 0.2537 0.3374 0.9978
As 0.5000 0.8324 0.9978
As 0.7463 0.3374 0.9978
As 0.7537 0.6626 0.4978
H 0.0000 0.8375 0.9600
H 0.5000 0.1625 0.4600

11.
Density functional theory data (PBE-GGA) for ScAsH after structural relaxation.

Calculated values
As for the magnetic moment: 0.00 μB/cell. Its volume is 86.8 Å³/cell. Its total energy is -33.00 eV per cell.

a b c (Å): 3.7464 3.7464 7.5359
angles (deg): 105.91 105.91 59.89
Fractional positions:
Sc 0.0000 0.0000 0.0000
Sc 0.1682 0.1682 0.5411
As 0.5789 0.5789 0.7616
As 0.7380 0.7380 0.2864
H 0.3348 0.3348 0.0368
H 0.5490 0.5490 0.3841

12.
Density functional theory data (PBE-GGA) for ScAs3H after structural relaxation.

Calculated values
As for the magnetic moment: 0.00 μB/cell. Its volume is 79.9 Å³/cell. Its total energy is -23.63 eV per cell.

a b c (Å): 4.3063 4.3063 4.3063
angles (deg): 90.00 90.00 90.00
Fractional positions:
Sc 0.0000 0.0000 0.0000
As 0.0000 0.5000 0.5000
As 0.5000 0.0000 0.5000
As 0.5000 0.5000 0.0000
H 0.5000 0.5000 0.5000

Which of these has the highest magnetic moment? Sc4As3H

Look up the magnetic moment of the third one. 0.86 μB/cell